{
  "formula": "LaPmHoAl",
  "functional": "GGA-PBE",
  "state": "relaxed",
  "formation_energy_ev_per_atom": -0.0691,
  "spacegroup": "No. 216",
  "e_tot_ev_per_atom": -4.5687,
  "polymorph_energy_mev_per_atom": 105,
  "magnetic_moment_mub_per_fu": 0.0,
  "cell": [[0.000, 3.874, 3.874], [3.874, 0.000, 3.874], [3.874, 3.874, 0.000]],
  "species": ["La", "Pm", "Ho", "Al"],
  "fractional_positions": [[0.000, 0.000, 0.000], [0.500, 0.500, 0.500], [0.750, 0.750, 0.750], [0.250, 0.250, 0.250]]
}